Compound: Pm2Tm8Mg
Source: Alexandria via LeMat-Bulk
Functional: PBE
Structure: optimized geometry

Energy of formation from the pure elements in meV per atom: 146
Crystal system: monoclinic
Raw total energy in eV per atom: -4.1150
Energy above the most stable polymorph in this dataset in eV/atom: 0.035

Cell and atoms, written as CIF:
```
data_Pm2Tm8Mg
_chemical_formula_sum 'Pm4 Tm16 Mg2'
_cell_length_a 16.200
_cell_length_b 6.529
_cell_length_c 6.587
_cell_angle_alpha 90.00
_cell_angle_beta 101.70
_cell_angle_gamma 90.00
_space_group_name_H-M_alt 'C 1 2/m 1'
_space_group_IT_number 12
loop_
_space_group_symop_operation_xyz
'x,y,z'
'-x,-y,-z'
'-x,y,-z'
'x,-y,z'
'x+1/2,y+1/2,z'
'-x+1/2,-y+1/2,-z'
'-x+1/2,y+1/2,-z'
'x+1/2,-y+1/2,z'
loop_
_atom_site_label
_atom_site_type_symbol
_atom_site_fract_x
_atom_site_fract_y
_atom_site_fract_z
Pm1 Pm 0.187 0.000 0.295
Tm1 Tm 0.081 0.260 0.888
Tm2 Tm 0.093 0.500 0.414
Tm3 Tm 0.246 0.000 0.816
Mg1 Mg 0.000 0.000 0.500
```



Compound: PmTmMg
Source: Alexandria via LeMat-Bulk
Functional: PBE
Structure: optimized geometry

Energy of formation from the pure elements in meV per atom: 209
Crystal system: tetragonal
Raw total energy in eV per atom: -3.3961
Energy above the most stable polymorph in this dataset in eV/atom: 0.248

Cell and atoms, written as CIF:
```
data_PmTmMg
_chemical_formula_sum 'Pm2 Tm2 Mg2'
_cell_length_a 4.660
_cell_length_b 4.660
_cell_length_c 8.407
_cell_angle_alpha 90.00
_cell_angle_beta 90.00
_cell_angle_gamma 90.00
_space_group_name_H-M_alt 'P 4/n m m'
_space_group_IT_number 129
loop_
_space_group_symop_operation_xyz
'x,y,z'
'-x,-y,-z'
'-y+1/2,x,z'
'y+1/2,-x,-z'
'-x+1/2,-y+1/2,z'
'x+1/2,y+1/2,-z'
'y,-x+1/2,z'
'-y,x+1/2,-z'
'x+1/2,-y,-z'
'-x+1/2,y,z'
'-y,-x,-z'
'y,x,z'
'-x,y+1/2,-z'
'x,-y+1/2,z'
'y+1/2,x+1/2,-z'
'-y+1/2,-x+1/2,z'
loop_
_atom_site_label
_atom_site_type_symbol
_atom_site_fract_x
_atom_site_fract_y
_atom_site_fract_z
Pm1 Pm 0.250 0.250 0.160
Tm1 Tm 0.250 0.250 0.754
Mg1 Mg 0.250 0.750 0.500
```



Compound: PmTm2Mg4
Source: Alexandria via LeMat-Bulk
Functional: PBE
Structure: optimized geometry

Energy of formation from the pure elements in meV per atom: 379
Crystal system: orthorhombic
Raw total energy in eV per atom: -2.4880
Energy above the most stable polymorph in this dataset in eV/atom: 0.282

Cell and atoms, written as CIF:
```
data_PmTm2Mg4
_chemical_formula_sum 'Pm2 Tm4 Mg8'
_cell_length_a 5.948
_cell_length_b 12.840
_cell_length_c 5.489
_cell_angle_alpha 90.00
_cell_angle_beta 90.00
_cell_angle_gamma 90.00
_space_group_name_H-M_alt 'C m m m'
_space_group_IT_number 65
_space_group_name_Hall '-C 2 2'
loop_
_atom_site_label
_atom_site_type_symbol
_atom_site_fract_x
_atom_site_fract_y
_atom_site_fract_z
Pm1 Pm 0.000 0.000 0.000
Tm1 Tm 0.000 0.369 0.500
Mg1 Mg 0.000 0.123 0.500
Mg2 Mg 0.000 0.252 0.000
```



Compound: Pm3Tm2Mg3
Source: Alexandria via LeMat-Bulk
Functional: PBE
Structure: optimized geometry

Energy of formation from the pure elements in meV per atom: -66
Crystal system: orthorhombic
Raw total energy in eV per atom: -3.5628

Cell and atoms, written as CIF:
```
data_Pm3Tm2Mg3
_chemical_formula_sum 'Pm6 Tm4 Mg6'
_cell_length_a 3.766
_cell_length_b 5.511
_cell_length_c 22.513
_cell_angle_alpha 90.00
_cell_angle_beta 90.00
_cell_angle_gamma 90.00
_space_group_name_H-M_alt 'I m m m'
_space_group_IT_number 71
_space_group_name_Hall '-I 2 2'
loop_
_atom_site_label
_atom_site_type_symbol
_atom_site_fract_x
_atom_site_fract_y
_atom_site_fract_z
Pm1 Pm 0.000 0.000 0.000
Pm2 Pm 0.000 0.500 0.127
Tm1 Tm 0.000 0.000 0.236
Mg1 Mg 0.000 0.000 0.500
Mg2 Mg 0.000 0.500 0.380
```



Compound: PmTm3Mg6
Source: Alexandria via LeMat-Bulk
Functional: PBE
Structure: optimized geometry

Energy of formation from the pure elements in meV per atom: -56
Crystal system: monoclinic
Raw total energy in eV per atom: -2.8292

Cell and atoms, written as CIF:
```
data_PmTm3Mg6
_chemical_formula_sum 'Pm2 Tm6 Mg12'
_cell_length_a 9.215
_cell_length_b 5.270
_cell_length_c 11.233
_cell_angle_alpha 90.00
_cell_angle_beta 105.97
_cell_angle_gamma 90.00
_space_group_name_H-M_alt 'P 1 21/m 1'
_space_group_IT_number 11
loop_
_space_group_symop_operation_xyz
'x,y,z'
'-x,-y,-z'
'-x,y+1/2,-z'
'x,-y+1/2,z'
loop_
_atom_site_label
_atom_site_type_symbol
_atom_site_fract_x
_atom_site_fract_y
_atom_site_fract_z
Pm1 Pm 0.054 0.250 0.396
Tm1 Tm 0.252 0.250 0.997
Tm2 Tm 0.352 0.750 0.800
Tm3 Tm 0.455 0.250 0.603
Mg1 Mg 0.049 0.750 0.905
Mg2 Mg 0.148 0.750 0.197
Mg3 Mg 0.149 0.250 0.703
Mg4 Mg 0.251 0.750 0.496
Mg5 Mg 0.347 0.250 0.294
Mg6 Mg 0.444 0.750 0.101
```



Compound: Pm7TmMg2
Source: Alexandria via LeMat-Bulk
Functional: PBE
Structure: optimized geometry

Energy of formation from the pure elements in meV per atom: 529
Crystal system: orthorhombic
Raw total energy in eV per atom: -3.5630

Cell and atoms, written as CIF:
```
data_Pm7TmMg2
_chemical_formula_sum 'Pm14 Tm2 Mg4'
_cell_length_a 8.840
_cell_length_b 16.685
_cell_length_c 5.299
_cell_angle_alpha 90.00
_cell_angle_beta 90.00
_cell_angle_gamma 90.00
_space_group_name_H-M_alt 'C m m m'
_space_group_IT_number 65
_space_group_name_Hall '-C 2 2'
loop_
_atom_site_label
_atom_site_type_symbol
_atom_site_fract_x
_atom_site_fract_y
_atom_site_fract_z
Pm1 Pm 0.000 0.000 0.000
Pm2 Pm 0.000 0.289 0.500
Pm3 Pm 0.184 0.387 0.000
Tm1 Tm 0.000 0.500 0.500
Mg1 Mg 0.000 0.201 0.000
```



Q: The lowest energy of formation from the pure elements belongs to which entry?
A: Pm3Tm2Mg3



Q: Look up the energy of formation from the pure elements of the second one.
A: 209 meV per atom



Q: raw total energy of number 4 (Pm3Tm2Mg3)?
A: -3.5628 eV per atom



Q: The lowest energy of formation from the pure elements belongs to which entry?
A: Pm3Tm2Mg3